(1)
{
  "formula": "Zr2Cl",
  "functional": "GGA-PBE",
  "state": "optimized geometry",
  "cell": [[1.8923, -5.3845, -0.6651], [-3.5673, -2.6051, 3.6747], [-1.6358, 3.4683, -4.2791]],
  "species": ["Cl", "Cl", "Zr", "Zr", "Zr", "Zr"],
  "frac_coords": [[0.5000, 0.5000, 0.0000], [0.2500, 0.7500, 0.5000], [0.5550, 0.0550, 0.5000], [0.1950, 0.1950, 0.0000], [0.8050, 0.8050, 0.0000], [0.9450, 0.4450, 0.5000]],
  "n_ef_per_ev_fu": 2.17,
  "raw_formation_energy_ev_per_fu": -1.40,
  "m_tot_mub_per_fu": 0.00
}

=====

(2)
{
  "formula": "ZrCl2",
  "functional": "GGA-PBE",
  "state": "optimized geometry",
  "cell": [[-1.9140, -0.0503, 2.6071], [5.2972, -0.7227, 3.8750], [0.5233, 6.5752, 0.5110]],
  "species": ["Zr", "Zr", "Cl", "Cl", "Cl", "Cl"],
  "frac_coords": [[0.0000, 0.0000, 0.0000], [0.5000, 0.5000, 0.5000], [0.5000, 0.2222, 0.2207], [0.5000, 0.7778, 0.7793], [0.0000, 0.7222, 0.2793], [0.0000, 0.2778, 0.7207]],
  "n_ef_per_ev_fu": 2.33,
  "raw_formation_energy_ev_per_fu": -4.05,
  "m_tot_mub_per_fu": 0.00
}

=====

Q: Number 1 is which compound?
A: Zr2Cl